## ZrCrHgO2 (GGA+U)

Data for a geometry-optimized ZrCrHgO2 structure.

The space group is P4/mmm (No. 123) and the conventional cell measures 4.2818, 4.2818 and 5.0916 Å, with angles of 90.00, 90.00 and 90.00 degrees. Symmetry generates all atoms from Zr at (0.0000, 0.0000, 0.0000), Cr at (0.5000, 0.5000, 0.0000), Hg at (0.5000, 0.5000, 0.5000) and O at (0.0000, 0.5000, 0.5000).

For the theoretical density, the calculation gives 6.685 g/cm³. For the total magnetization, the calculation gives 3.633 μB/f.u. The total energy comes out at -4.59 eV per atom.